Computed, not measured: crystalline CePuTlHg at its relaxed geometry at the PBE level of DFT.

Lattice parameters (Å, degrees): 5.4223 5.4223 5.4223 60.00 60.00 60.00
Each line ends with the local moment (μB).
Fractional coordinates of all 4 atoms:
Ce 0.7500 0.7500 0.7500  1.01
Pu 0.2500 0.2500 0.2500  5.58
Tl 0.0000 0.0000 0.0000  -0.01
Hg 0.5000 0.5000 0.5000  0.05

Summary:
**Density**: 11.624 g cm⁻³
**Magnetic moment**: 1.859 μB per atom
**E_tot**: -23.5 eV/cell